The following is a GGA-PBE calculation of a geometry-optimized ZrSnPdRu structure, from Alexandria via LeMat-Bulk.

Computed properties:
Calculated formation energy   -2.13 eV/f.u.
Distance to the lowest polymorph of the same formula   0.027 eV per atom
Total moment   0.00 μB per atom

Cell: 6.5714 6.5714 6.5714 Å, 90.00 90.00 90.00°
Space group F-43m (No. 216)
One atom of each set of equivalent atoms:
Zr (0.0000, 0.0000, 0.0000) x4
Sn (0.0000, 0.0000, 0.5000) x4
Pd (0.2500, 0.2500, 0.7500) x4
Ru (0.2500, 0.2500, 0.2500) x4

***

The following is a GGA-PBE calculation of a geometry-optimized ZrSnPdRu structure, from Alexandria via LeMat-Bulk.

Computed properties:
Calculated formation energy   -2.24 eV/f.u.
Distance to the lowest polymorph of the same formula   0.000 eV per atom
Total moment   0.00 μB per atom

Cell: 4.2995 4.2995 7.6232 Å, 90.00 90.00 90.00°
Space group I-4m2 (No. 119)
One atom of each set of equivalent atoms:
Zr (0.0000, 0.0000, 0.0000) x2
Sn (0.0000, 0.0000, 0.5000) x2
Pd (0.0000, 0.5000, 0.7500) x2
Ru (0.0000, 0.5000, 0.2500) x2

***

The following is a GGA-PBE calculation of a geometry-optimized Sr4Pd2Ru structure, from Alexandria via LeMat-Bulk.

Computed properties:
Calculated formation energy   0.46 eV/f.u.
Total moment   0.02 μB per atom

Cell: 5.7001 5.7001 14.4780 Å, 90.00 90.00 90.00°
Space group I4/mmm (No. 139)
One atom of each set of equivalent atoms:
Sr (0.0000, 0.0000, 0.1962) x4
Sr (0.0000, 0.5000, 0.0000) x4
Pd (0.0000, 0.0000, 0.4003) x4
Ru (0.0000, 0.0000, 0.0000) x2

***

The following is a GGA-PBE calculation of a geometry-optimized SrPdRu2 structure, from Alexandria via LeMat-Bulk.

Computed properties:
Calculated formation energy   3.22 eV/f.u.
Distance to the lowest polymorph of the same formula   0.262 eV per atom
Total moment   0.96 μB per atom

Cell: 6.6522 6.6522 6.6522 Å, 90.00 90.00 90.00°
Space group Fm-3m (No. 225)
One atom of each set of equivalent atoms:
Sr (0.0000, 0.0000, 0.0000) x4
Pd (0.0000, 0.0000, 0.5000) x4
Ru (0.2500, 0.2500, 0.2500) x8

***

The following is a GGA-PBE calculation of a geometry-optimized SrPdRu2 structure, from Alexandria via LeMat-Bulk.

Computed properties:
Calculated formation energy   2.17 eV/f.u.
Distance to the lowest polymorph of the same formula   0.000 eV per atom
Total moment   0.00 μB per atom

Cell: 4.1954 4.1954 19.9419 Å, 90.00 90.00 90.00°
Space group I-42d (No. 122)
One atom of each set of equivalent atoms:
Sr (0.0000, 0.0000, 0.0000) x4
Pd (0.0000, 0.0000, 0.5000) x4
Ru (0.1251, 0.2500, 0.6250) x8

***

The following is a GGA-PBE calculation of a geometry-optimized SrPd2Ru structure, from Alexandria via LeMat-Bulk.

Computed properties:
Calculated formation energy   0.92 eV/f.u.
Distance to the lowest polymorph of the same formula   0.000 eV per atom
Total moment   0.49 μB per atom

Cell: 6.7552 6.7552 6.7552 Å, 90.00 90.00 90.00°
Space group Fm-3m (No. 225)
One atom of each set of equivalent atoms:
Sr (0.0000, 0.0000, 0.0000) x4
Pd (0.2500, 0.2500, 0.2500) x8
Ru (0.0000, 0.0000, 0.5000) x4

***

The following is a GGA-PBE calculation of a geometry-optimized SrPd2Ru structure, from Alexandria via LeMat-Bulk.

Computed properties:
Calculated formation energy   1.52 eV/f.u.
Distance to the lowest polymorph of the same formula   0.151 eV per atom
Total moment   0.26 μB per atom

Cell: 4.9666 4.9666 17.0314 Å, 90.00 90.00 90.00°
Space group I-42d (No. 122)
One atom of each set of equivalent atoms:
Sr (0.0000, 0.0000, 0.0000) x4
Pd (0.0693, 0.2500, 0.6250) x8
Ru (0.0000, 0.0000, 0.5000) x4

***

The following is a GGA-PBE calculation of a geometry-optimized Sr2PdRu structure, from Alexandria via LeMat-Bulk.

Computed properties:
Calculated formation energy   1.80 eV/f.u.
Total moment   0.26 μB per atom

Cell: 8.0869 8.0869 6.4005 Å, 90.00 90.00 90.00°
Space group I-42d (No. 122)
One atom of each set of equivalent atoms:
Sr (0.2462, 0.7500, 0.1250) x8
Pd (0.0000, 0.0000, 0.0000) x4
Ru (0.0000, 0.0000, 0.5000) x4

***

The following is a GGA-PBE calculation of a geometry-optimized Sr2TcPdRu structure, from Alexandria via LeMat-Bulk.

Computed properties:
Calculated formation energy   5.95 eV/f.u.
Total moment   0.88 μB per atom

Cell: 5.6524 5.6524 4.8275 Å, 90.00 90.00 90.00°
Space group P4/mmm (No. 123)
One atom of each set of equivalent atoms:
Sr (0.0000, 0.5000, 0.0000) x2
Tc (0.0000, 0.0000, 0.5000) x1
Pd (0.0000, 0.0000, 0.0000) x1
Ru (0.5000, 0.5000, 0.5000) x1

***

The following is a GGA-PBE calculation of a geometry-optimized SrZnPdRu2 structure, from Alexandria via LeMat-Bulk.

Computed properties:
Calculated formation energy   10.32 eV/f.u.
Total moment   0.72 μB per atom

Cell: 4.9815 4.9815 5.0895 Å, 90.00 90.00 90.00°
Space group P4/mmm (No. 123)
One atom of each set of equivalent atoms:
Sr (0.0000, 0.0000, 0.0000) x1
Zn (0.5000, 0.5000, 0.5000) x1
Pd (0.0000, 0.0000, 0.5000) x1
Ru (0.0000, 0.5000, 0.0000) x2

***

The following is a GGA-PBE calculation of a geometry-optimized TaPdRu3 structure, from Alexandria via LeMat-Bulk.

Computed properties:
Calculated formation energy   7.78 eV/f.u.
Distance to the lowest polymorph of the same formula   0.000 eV per atom
Total moment   0.70 μB per atom

Cell: 4.6852 4.6852 4.6852 Å, 90.00 90.00 90.00°
Space group Pm-3m (No. 221)
One atom of each set of equivalent atoms:
Ta (0.0000, 0.0000, 0.0000) x1
Pd (0.5000, 0.5000, 0.5000) x1
Ru (0.0000, 0.0000, 0.5000) x3

***

The following is a GGA-PBE calculation of a geometry-optimized TaPdRu3 structure, from Alexandria via LeMat-Bulk.

Computed properties:
Calculated formation energy   9.97 eV/f.u.
Distance to the lowest polymorph of the same formula   0.437 eV per atom
Total moment   0.71 μB per atom

Cell: 4.6272 4.6272 4.6272 Å, 90.00 90.00 90.00°
Space group Pm-3m (No. 221)
One atom of each set of equivalent atoms:
Ta (0.0000, 0.0000, 0.0000) x1
Pd (0.5000, 0.5000, 0.5000) x1
Ru (0.0000, 0.5000, 0.5000) x3